1 | VASP calculation (GGA-PBE) on an optimized crystal structure of La3In2Sn3.

Unit cell a=6.5936 b=6.5936 c=16.5087 alpha=90.00 beta=90.00 gamma=138.33
Fractional positions:
La  0.0571  0.9429  0.6133
La  0.0571  0.9429  0.8867
La  0.3379  0.6621  0.7500
La  0.6621  0.3379  0.2500
La  0.9429  0.0571  0.1133
La  0.9429  0.0571  0.3867
In  0.2281  0.7719  0.1116
In  0.2281  0.7719  0.3884
In  0.7719  0.2281  0.6116
In  0.7719  0.2281  0.8884
Sn  0.3829  0.6171  0.5372
Sn  0.3829  0.6171  0.9628
Sn  0.3927  0.6073  0.2500
Sn  0.6073  0.3927  0.7500
Sn  0.6171  0.3829  0.0372
Sn  0.6171  0.3829  0.4628

N(E_F) = 6.68 states/eV/f.u.

---

2 | VASP calculation (GGA-PBE) on an optimized crystal structure of La3In2Sn3.

Unit cell a=6.3572 b=6.3572 c=16.0797 alpha=90.00 beta=90.00 gamma=133.16
Fractional positions:
La  0.0415  0.9585  0.7500
La  0.1445  0.8555  0.0300
La  0.1445  0.8555  0.4700
La  0.8555  0.1445  0.5300
La  0.8555  0.1445  0.9700
La  0.9585  0.0415  0.2500
In  0.3180  0.6820  0.6552
In  0.3180  0.6820  0.8448
In  0.6820  0.3180  0.1552
In  0.6820  0.3180  0.3448
Sn  0.2455  0.7545  0.2500
Sn  0.4410  0.5590  0.0904
Sn  0.4410  0.5590  0.4096
Sn  0.5590  0.4410  0.5904
Sn  0.5590  0.4410  0.9096
Sn  0.7545  0.2455  0.7500

N(E_F) = 4.03 states/eV/f.u.

---

Relative energies in kJ/mol of atoms: 1 0.0; 2 7.2

---

1 | VASP calculation (GGA-PBE) on an optimized crystal structure of LaInSn6.

Unit cell a=4.7643 b=4.7643 c=9.7674 alpha=90.00 beta=90.00 gamma=90.00
Fractional positions:
La  0.0000  0.0000  0.0000
In  0.0000  0.0000  0.5000
Sn  0.0000  0.5000  0.2547
Sn  0.0000  0.5000  0.7453
Sn  0.5000  0.0000  0.2547
Sn  0.5000  0.0000  0.7453
Sn  0.5000  0.5000  0.0000
Sn  0.5000  0.5000  0.5000

N(E_F) = 3.86 states/eV/f.u.

---

2 | VASP calculation (GGA-PBE) on an optimized crystal structure of LaInSn6.

Unit cell a=6.8146 b=6.8146 c=4.7498 alpha=90.00 beta=90.00 gamma=90.00
Fractional positions:
La  0.0000  0.0000  0.0000
In  0.5000  0.5000  0.0000
Sn  0.0000  0.5000  0.0000
Sn  0.2616  0.2616  0.5000
Sn  0.2616  0.7384  0.5000
Sn  0.5000  0.0000  0.0000
Sn  0.7384  0.2616  0.5000
Sn  0.7384  0.7384  0.5000

N(E_F) = 3.71 states/eV/f.u.

---

Relative energies in kJ/mol of atoms: 1 1.3; 2 0.0

---

1 | VASP calculation (GGA-PBE) on an optimized crystal structure of LaInSn3.

Unit cell a=6.0699 b=6.0859 c=6.1001 alpha=65.64 beta=65.49 gamma=65.62
Fractional positions:
La  0.0000  0.0000  0.0000
In  0.5000  0.5000  0.5000
Sn  0.0000  0.5000  0.5000
Sn  0.5000  0.0000  0.5000
Sn  0.5000  0.5000  0.0000

N(E_F) = 2.61 states/eV/f.u.

---

2 | VASP calculation (GGA-PBE) on an optimized crystal structure of LaInSn3.

Unit cell a=13.3458 b=6.4691 c=6.5926 alpha=90.00 beta=90.00 gamma=90.00
Fractional positions:
La  0.1910  0.0078  0.2500
La  0.1910  0.4922  0.7500
La  0.8090  0.5078  0.2500
La  0.8090  0.9922  0.7500
In  0.3864  0.2500  0.0000
In  0.3864  0.2500  0.5000
In  0.6136  0.7500  0.0000
In  0.6136  0.7500  0.5000
Sn  0.0003  0.2500  0.0000
Sn  0.0003  0.2500  0.5000
Sn  0.9997  0.7500  0.0000
Sn  0.9997  0.7500  0.5000
Sn  0.2203  0.5105  0.2500
Sn  0.2203  0.9895  0.7500
Sn  0.4185  0.7048  0.7500
Sn  0.4185  0.7952  0.2500
Sn  0.5815  0.2048  0.7500
Sn  0.5815  0.2952  0.2500
Sn  0.7797  0.0105  0.2500
Sn  0.7797  0.4895  0.7500

N(E_F) = 2.82 states/eV/f.u.

---

Relative energies in kJ/mol of atoms: 1 28.3; 2 0.0

---

1 | VASP calculation (GGA-PBE) on an optimized crystal structure of LaInSn3.

Unit cell a=6.0409 b=6.0409 c=6.0409 alpha=90.00 beta=90.00 gamma=90.00
Fractional positions:
La  0.0000  0.0000  0.0000
In  0.5000  0.5000  0.5000
Sn  0.0000  0.0000  0.5000
Sn  0.0000  0.5000  0.0000
Sn  0.5000  0.0000  0.0000

N(E_F) = 3.97 states/eV/f.u.

---

2 | VASP calculation (GGA-PBE) on an optimized crystal structure of LaInSn3.

Unit cell a=5.5550 b=5.5550 c=5.5550 alpha=90.00 beta=90.00 gamma=90.00
Fractional positions:
La  0.0000  0.0000  0.0000
In  0.5000  0.5000  0.5000
Sn  0.0000  0.5000  0.5000
Sn  0.5000  0.0000  0.5000
Sn  0.5000  0.5000  0.0000

N(E_F) = 4.23 states/eV/f.u.

---

Relative energies in kJ/mol of atoms: 1 31.6; 2 0.0